# Pm2Er8Th | the Alexandria database | PBE | relaxed
data_Pm2Er8Th
_cell_length_a 18.062
_cell_length_b 5.019
_cell_length_c 7.914
_cell_angle_alpha 90.00
_cell_angle_beta 105.17
_cell_angle_gamma 90.00
_space_group_name_H-M_alt 'C 1 2/m 1'
_space_group_IT_number 12
loop_
_space_group_symop_operation_xyz
'x,y,z'
'-x,-y,-z'
'-x,y,-z'
'x,-y,z'
'x+1/2,y+1/2,z'
'-x+1/2,-y+1/2,-z'
'-x+1/2,y+1/2,-z'
'x+1/2,-y+1/2,z'
loop_
_atom_site_label
_atom_site_type_symbol
_atom_site_fract_x
_atom_site_fract_y
_atom_site_fract_z
Pm1 Pm 0.228 0.000 0.136
Er1 Er 0.044 0.000 0.231
Er2 Er 0.089 0.500 0.952
Er3 Er 0.135 0.000 0.677
Er4 Er 0.180 0.500 0.407
Th1 Th 0.000 0.500 0.500
# density: 8.9 Mg/m³
# formation enthalpy at 0 K: 0.03 eV/atom
# DOS(E_F): 16.67 states/eV/f.u.